First-principles (GGA-PBE) data for a relaxed structure of ErThCd2, as listed in Alexandria via LeMat-Bulk.

Unit cell a=7.580 b=7.580 c=7.580 alpha=90.00 beta=90.00 gamma=90.00
Fractional positions:
Er (0.000, 0.000, 0.000)
Er (0.000, 0.500, 0.500)
Er (0.500, 0.000, 0.500)
Er (0.500, 0.500, 0.000)
Th (0.000, 0.000, 0.500)
Th (0.000, 0.500, 0.000)
Th (0.500, 0.000, 0.000)
Th (0.500, 0.500, 0.500)
Cd (0.250, 0.250, 0.250)
Cd (0.250, 0.250, 0.750)
Cd (0.250, 0.750, 0.250)
Cd (0.250, 0.750, 0.750)
Cd (0.750, 0.250, 0.250)
Cd (0.750, 0.250, 0.750)
Cd (0.750, 0.750, 0.250)
Cd (0.750, 0.750, 0.750)

Properties
SG ... Fm-3m (225)
E above lowest polymorph ... 35 meV/atom
Magnetic moment ... 0.001 μB per cell
ΔE_f ... -0.160 eV per atom